No. 1
# TbNd2SmTl2 | Alexandria | PBE-GGA | optimized geometry
data_TbNd2SmTl2
_cell_length_a 5.2177
_cell_length_b 10.2466
_cell_length_c 6.9144
_cell_angle_alpha 90.00
_cell_angle_beta 90.00
_cell_angle_gamma 90.00
_space_group_name_H-M_alt 'P m c 21'
_space_group_IT_number 26
loop_
_space_group_symop_operation_xyz
'x,y,z'
'-x,-y,z+1/2'
'-x,y,z'
'x,-y,z+1/2'
loop_
_atom_site_label
_atom_site_fract_x
_atom_site_fract_y
_atom_site_fract_z
Tb1 0.0000 0.1848 0.0000
Nd1 0.0000 0.4562 0.3724
Nd2 0.5000 0.3161 0.6445
Sm1 0.5000 0.0425 0.2788
Tl1 0.0000 0.1290 0.5364
Tl2 0.5000 0.3570 0.1140
# * energy of formation: -0.272 eV per atom
# * total magnetic moment: 0.00 μB/cell

=====

No. 2
# Tb3Nd6Sm2Tm | Alexandria | PBE-GGA | optimized geometry
data_Tb3Nd6Sm2Tm
_cell_length_a 6.2936
_cell_length_b 10.9006
_cell_length_c 11.9524
_cell_angle_alpha 90.00
_cell_angle_beta 100.09
_cell_angle_gamma 90.00
_space_group_name_H-M_alt 'C 1 2/m 1'
_space_group_IT_number 12
loop_
_space_group_symop_operation_xyz
'x,y,z'
'-x,-y,-z'
'-x,y,-z'
'x,-y,z'
'x+1/2,y+1/2,z'
'-x+1/2,-y+1/2,-z'
'-x+1/2,y+1/2,-z'
'x+1/2,-y+1/2,z'
loop_
_atom_site_label
_atom_site_fract_x
_atom_site_fract_y
_atom_site_fract_z
Tb1 0.0000 0.0000 0.0000
Tb2 0.0000 0.3335 0.0000
Nd1 0.2487 0.5000 0.2490
Nd2 0.2502 0.1661 0.2495
Sm1 0.0000 0.1667 0.5000
Tm1 0.0000 0.5000 0.5000
# * energy of formation: 0.012 eV per atom
# * total magnetic moment: 0.00 μB/cell

=====

No. 3
# TbNd2Sm2Tm | Alexandria | PBE-GGA | optimized geometry
data_TbNd2Sm2Tm
_cell_length_a 7.0649
_cell_length_b 5.6953
_cell_length_c 9.8684
_cell_angle_alpha 90.00
_cell_angle_beta 90.00
_cell_angle_gamma 90.00
_space_group_name_H-M_alt 'P m m a'
_space_group_IT_number 51
loop_
_space_group_symop_operation_xyz
'x,y,z'
'-x,-y,-z'
'-x+1/2,-y,z'
'x+1/2,y,-z'
'x+1/2,-y,-z'
'-x+1/2,y,z'
'-x,y,-z'
'x,-y,z'
loop_
_atom_site_label
_atom_site_fract_x
_atom_site_fract_y
_atom_site_fract_z
Tb1 0.2500 0.0000 0.1574
Nd1 0.0000 0.0000 0.5000
Nd2 0.2500 0.5000 0.6783
Sm1 0.2500 0.0000 0.8309
Sm2 0.2500 0.5000 0.3372
Tm1 0.0000 0.5000 0.0000
# * energy of formation: 0.060 eV per atom
# * total magnetic moment: 0.00 μB/cell

=====

No. 4
# TbNd3Sm6Tm2 | Alexandria | PBE-GGA | optimized geometry
data_TbNd3Sm6Tm2
_cell_length_a 6.2622
_cell_length_b 10.8476
_cell_length_c 11.9607
_cell_angle_alpha 90.00
_cell_angle_beta 100.06
_cell_angle_gamma 90.00
_space_group_name_H-M_alt 'C 1 2/m 1'
_space_group_IT_number 12
loop_
_space_group_symop_operation_xyz
'x,y,z'
'-x,-y,-z'
'-x,y,-z'
'x,-y,z'
'x+1/2,y+1/2,z'
'-x+1/2,-y+1/2,-z'
'-x+1/2,y+1/2,-z'
'x+1/2,-y+1/2,z'
loop_
_atom_site_label
_atom_site_fract_x
_atom_site_fract_y
_atom_site_fract_z
Tb1 0.0000 0.0000 0.0000
Nd1 0.0000 0.1668 0.5000
Nd2 0.0000 0.5000 0.5000
Sm1 0.2483 0.5000 0.2452
Sm2 0.2492 0.1669 0.2453
Tm1 0.0000 0.3333 0.0000
# * energy of formation: 0.018 eV per atom
# * total magnetic moment: 0.00 μB/cell

=====

No. 5
# TbNd2Sm4Tm | Alexandria | PBE-GGA | optimized geometry
data_TbNd2Sm4Tm
_cell_length_a 13.7352
_cell_length_b 13.3313
_cell_length_c 6.8837
_cell_angle_alpha 90.00
_cell_angle_beta 119.88
_cell_angle_gamma 90.00
_space_group_name_H-M_alt 'C 1 2/c 1'
_space_group_IT_number 15
loop_
_space_group_symop_operation_xyz
'x,y,z'
'-x,-y,-z'
'-x,y,-z+1/2'
'x,-y,z+1/2'
'x+1/2,y+1/2,z'
'-x+1/2,-y+1/2,-z'
'-x+1/2,y+1/2,-z+1/2'
'x+1/2,-y+1/2,z+1/2'
loop_
_atom_site_label
_atom_site_fract_x
_atom_site_fract_y
_atom_site_fract_z
Tb1 0.2500 0.2500 0.0000
Nd1 0.0000 0.0000 0.0000
Nd2 0.2500 0.2500 0.5000
Sm1 0.0021 0.2561 0.5017
Sm2 0.2459 0.4985 0.9716
Tm1 0.0000 0.5000 0.0000
# * energy of formation: 0.397 eV per atom
# * total magnetic moment: 0.00 μB/cell

=====

No. 6
# TbNdSm2Tm5 | Alexandria | PBE-GGA | optimized geometry
data_TbNdSm2Tm5
_cell_length_a 8.7075
_cell_length_b 8.7075
_cell_length_c 15.1743
_cell_angle_alpha 90.00
_cell_angle_beta 90.00
_cell_angle_gamma 90.00
_space_group_name_H-M_alt 'I 4/m c m'
_space_group_IT_number 140
_space_group_name_Hall '-I 4 2c'
loop_
_atom_site_label
_atom_site_fract_x
_atom_site_fract_y
_atom_site_fract_z
Tb1 0.0000 0.5000 0.2500
Nd1 0.0000 0.0000 0.2500
Sm1 0.1158 0.3842 0.0000
Tm1 0.0000 0.0000 0.0000
Tm2 0.2090 0.2910 0.3638
# * energy of formation: 0.267 eV per atom
# * total magnetic moment: 0.00 μB/cell

=====

No. 7
# Tb6NdSm2Tm | Alexandria | PBE-GGA | optimized geometry
data_Tb6NdSm2Tm
_cell_length_a 9.0894
_cell_length_b 15.1001
_cell_length_c 9.6632
_cell_angle_alpha 90.00
_cell_angle_beta 98.02
_cell_angle_gamma 90.00
_space_group_name_H-M_alt 'C 1 2/c 1'
_space_group_IT_number 15
loop_
_space_group_symop_operation_xyz
'x,y,z'
'-x,-y,-z'
'-x,y,-z+1/2'
'x,-y,z+1/2'
'x+1/2,y+1/2,z'
'-x+1/2,-y+1/2,-z'
'-x+1/2,y+1/2,-z+1/2'
'x+1/2,-y+1/2,z+1/2'
loop_
_atom_site_label
_atom_site_fract_x
_atom_site_fract_y
_atom_site_fract_z
Tb1 0.0651 0.1888 0.4433
Tb2 0.0998 0.3931 0.6193
Tb3 0.2066 0.2239 0.8140
Nd1 0.0000 0.0209 0.7500
Sm1 0.2495 0.0513 0.0441
Tm1 0.0000 0.4085 0.2500
# * energy of formation: 0.116 eV per atom
# * total magnetic moment: 0.00 μB/cell

=====

No. 8
# Tb2NdSm4Tm2 | Alexandria | PBE-GGA | optimized geometry
data_Tb2NdSm4Tm2
_cell_length_a 15.2311
_cell_length_b 5.0653
_cell_length_c 8.0189
_cell_angle_alpha 90.00
_cell_angle_beta 108.42
_cell_angle_gamma 90.00
_space_group_name_H-M_alt 'C 1 2/m 1'
_space_group_IT_number 12
loop_
_space_group_symop_operation_xyz
'x,y,z'
'-x,-y,-z'
'-x,y,-z'
'x,-y,z'
'x+1/2,y+1/2,z'
'-x+1/2,-y+1/2,-z'
'-x+1/2,y+1/2,-z'
'x+1/2,-y+1/2,z'
loop_
_atom_site_label
_atom_site_fract_x
_atom_site_fract_y
_atom_site_fract_z
Tb1 0.1115 0.0000 0.1673
Nd1 0.0000 0.0000 0.5000
Sm1 0.0549 0.5000 0.8322
Sm2 0.2227 0.0000 0.8315
Tm1 0.1683 0.5000 0.4995
# * energy of formation: 0.019 eV per atom
# * total magnetic moment: 0.00 μB/cell

=====

No. 9
# Tb4NdSmTm2 | Alexandria | PBE-GGA | optimized geometry
data_Tb4NdSmTm2
_cell_length_a 13.6205
_cell_length_b 13.2531
_cell_length_c 6.8025
_cell_angle_alpha 90.00
_cell_angle_beta 119.96
_cell_angle_gamma 90.00
_space_group_name_H-M_alt 'C 1 2/c 1'
_space_group_IT_number 15
loop_
_space_group_symop_operation_xyz
'x,y,z'
'-x,-y,-z'
'-x,y,-z+1/2'
'x,-y,z+1/2'
'x+1/2,y+1/2,z'
'-x+1/2,-y+1/2,-z'
'-x+1/2,y+1/2,-z+1/2'
'x+1/2,-y+1/2,z+1/2'
loop_
_atom_site_label
_atom_site_fract_x
_atom_site_fract_y
_atom_site_fract_z
Tb1 0.0003 0.2459 0.0025
Tb2 0.2466 0.0033 0.4956
Nd1 0.2500 0.2500 0.0000
Sm1 0.0000 0.5000 0.0000
Tm1 0.0000 0.0000 0.0000
Tm2 0.2500 0.2500 0.5000
# * energy of formation: 0.425 eV per atom
# * total magnetic moment: 10.93 μB/cell

=====

No. 10
# Tb2NdSmTm | Alexandria | PBE-GGA | optimized geometry
data_Tb2NdSmTm
_cell_length_a 8.4250
_cell_length_b 11.5420
_cell_length_c 7.1812
_cell_angle_alpha 90.00
_cell_angle_beta 90.00
_cell_angle_gamma 90.00
_space_group_name_H-M_alt 'C m c m'
_space_group_IT_number 63
_space_group_name_Hall '-C 2c 2'
loop_
_atom_site_label
_atom_site_fract_x
_atom_site_fract_y
_atom_site_fract_z
Tb1 0.1879 0.0000 0.0000
Nd1 0.0000 0.2284 0.2500
Sm1 0.0000 0.4963 0.2500
Tm1 0.0000 0.2233 0.7500
# * energy of formation: 0.394 eV per atom
# * total magnetic moment: 0.01 μB/cell

=====

No. 11
# TbNd2SmTm | Alexandria | PBE-GGA | optimized geometry
data_TbNd2SmTm
_cell_length_a 8.1759
_cell_length_b 6.7813
_cell_length_c 6.1914
_cell_angle_alpha 90.00
_cell_angle_beta 90.05
_cell_angle_gamma 90.00
_space_group_name_H-M_alt 'P 1 2/c 1'
_space_group_IT_number 13
loop_
_space_group_symop_operation_xyz
'x,y,z'
'-x,-y,-z'
'-x,y,-z+1/2'
'x,-y,z+1/2'
loop_
_atom_site_label
_atom_site_fract_x
_atom_site_fract_y
_atom_site_fract_z
Tb1 0.0000 0.1586 0.2500
Nd1 0.1976 0.3086 0.7504
Sm1 0.5000 0.0000 0.0000
Tm1 0.5000 0.4156 0.2500
# * energy of formation: 0.265 eV per atom
# * total magnetic moment: 0.00 μB/cell

=====

No. 12
# Tb2Nd4SmTm2 | Alexandria | PBE-GGA | optimized geometry
data_Tb2Nd4SmTm2
_cell_length_a 15.3209
_cell_length_b 5.0922
_cell_length_c 8.0518
_cell_angle_alpha 90.00
_cell_angle_beta 108.40
_cell_angle_gamma 90.00
_space_group_name_H-M_alt 'C 1 2/m 1'
_space_group_IT_number 12
loop_
_space_group_symop_operation_xyz
'x,y,z'
'-x,-y,-z'
'-x,y,-z'
'x,-y,z'
'x+1/2,y+1/2,z'
'-x+1/2,-y+1/2,-z'
'-x+1/2,y+1/2,-z'
'x+1/2,-y+1/2,z'
loop_
_atom_site_label
_atom_site_fract_x
_atom_site_fract_y
_atom_site_fract_z
Tb1 0.1116 0.0000 0.1690
Nd1 0.0541 0.5000 0.8308
Nd2 0.2228 0.0000 0.8308
Sm1 0.0000 0.0000 0.5000
Tm1 0.1681 0.5000 0.4994
# * energy of formation: 0.020 eV per atom
# * total magnetic moment: 0.00 μB/cell

=====

No. 13
# TbNd6SmTm2 | Alexandria | PBE-GGA | optimized geometry
data_TbNd6SmTm2
_cell_length_a 9.2918
_cell_length_b 15.2686
_cell_length_c 9.6928
_cell_angle_alpha 90.00
_cell_angle_beta 97.68
_cell_angle_gamma 90.00
_space_group_name_H-M_alt 'C 1 2/c 1'
_space_group_IT_number 15
loop_
_space_group_symop_operation_xyz
'x,y,z'
'-x,-y,-z'
'-x,y,-z+1/2'
'x,-y,z+1/2'
'x+1/2,y+1/2,z'
'-x+1/2,-y+1/2,-z'
'-x+1/2,y+1/2,-z+1/2'
'x+1/2,-y+1/2,z+1/2'
loop_
_atom_site_label
_atom_site_fract_x
_atom_site_fract_y
_atom_site_fract_z
Tb1 0.0000 0.0299 0.2500
Nd1 0.0639 0.1753 0.9452
Nd2 0.0969 0.3918 0.1191
Nd3 0.2124 0.2246 0.3156
Sm1 0.0000 0.4085 0.7500
Tm1 0.2461 0.0480 0.5472
# * energy of formation: 0.115 eV per atom
# * total magnetic moment: 0.00 μB/cell

=====

No. 14
# Tb2Nd2SmTm | Alexandria | PBE-GGA | optimized geometry
data_Tb2Nd2SmTm
_cell_length_a 7.0480
_cell_length_b 5.6785
_cell_length_c 9.8416
_cell_angle_alpha 90.00
_cell_angle_beta 90.00
_cell_angle_gamma 90.00
_space_group_name_H-M_alt 'P m m a'
_space_group_IT_number 51
loop_
_space_group_symop_operation_xyz
'x,y,z'
'-x,-y,-z'
'-x+1/2,-y,z'
'x+1/2,y,-z'
'x+1/2,-y,-z'
'-x+1/2,y,z'
'-x,y,-z'
'x,-y,z'
loop_
_atom_site_label
_atom_site_fract_x
_atom_site_fract_y
_atom_site_fract_z
Tb1 0.2500 0.0000 0.1630
Tb2 0.2500 0.5000 0.6698
Nd1 0.0000 0.5000 0.0000
Nd2 0.2500 0.0000 0.8215
Sm1 0.2500 0.5000 0.3436
Tm1 0.0000 0.0000 0.5000
# * energy of formation: 0.061 eV per atom
# * total magnetic moment: 0.00 μB/cell

=====

No. 15
# Tb2Nd4SmTm | Alexandria | PBE-GGA | optimized geometry
data_Tb2Nd4SmTm
_cell_length_a 5.1236
_cell_length_b 5.1495
_cell_length_c 10.1577
_cell_angle_alpha 90.00
_cell_angle_beta 90.00
_cell_angle_gamma 90.00
_space_group_name_H-M_alt 'P m m m'
_space_group_IT_number 47
loop_
_space_group_symop_operation_xyz
'x,y,z'
'-x,-y,-z'
'-x,-y,z'
'x,y,-z'
'x,-y,-z'
'-x,y,z'
'-x,y,-z'
'x,-y,z'
loop_
_atom_site_label
_atom_site_fract_x
_atom_site_fract_y
_atom_site_fract_z
Tb1 0.0000 0.0000 0.0000
Tb2 0.5000 0.5000 0.5000
Nd1 0.0000 0.5000 0.2477
Nd2 0.5000 0.0000 0.2478
Sm1 0.0000 0.0000 0.5000
Tm1 0.5000 0.5000 0.0000
# * energy of formation: 0.015 eV per atom
# * total magnetic moment: 0.00 μB/cell

=====

No. 16
# Tb5Nd2SmTm | Alexandria | PBE-GGA | optimized geometry
data_Tb5Nd2SmTm
_cell_length_a 8.6879
_cell_length_b 8.6879
_cell_length_c 15.7405
_cell_angle_alpha 90.00
_cell_angle_beta 90.00
_cell_angle_gamma 90.00
_space_group_name_H-M_alt 'I 4/m c m'
_space_group_IT_number 140
_space_group_name_Hall '-I 4 2c'
loop_
_atom_site_label
_atom_site_fract_x
_atom_site_fract_y
_atom_site_fract_z
Tb1 0.0000 0.0000 0.0000
Tb2 0.2119 0.2881 0.1397
Nd1 0.1179 0.3821 0.5000
Sm1 0.0000 0.0000 0.2500
Tm1 0.0000 0.5000 0.2500
# * energy of formation: 0.273 eV per atom
# * total magnetic moment: 0.00 μB/cell

=====

No. 17
# TbNd3SmTm | Alexandria | PBE-GGA | optimized geometry
data_TbNd3SmTm
_cell_length_a 5.0978
_cell_length_b 15.3782
_cell_length_c 10.2602
_cell_angle_alpha 90.00
_cell_angle_beta 90.00
_cell_angle_gamma 90.00
_space_group_name_H-M_alt 'C m c m'
_space_group_IT_number 63
_space_group_name_Hall '-C 2c 2'
loop_
_atom_site_label
_atom_site_fract_x
_atom_site_fract_y
_atom_site_fract_z
Tb1 0.0000 0.0000 0.0000
Nd1 0.0000 0.1671 0.2500
Nd2 0.0000 0.3343 0.0004
Sm1 0.0000 0.4982 0.2500
Tm1 0.0000 0.1660 0.7500
# * energy of formation: 0.017 eV per atom
# * total magnetic moment: 0.00 μB/cell

=====

No. 18
# TbNdSm2Tm2 | Alexandria | PBE-GGA | optimized geometry
data_TbNdSm2Tm2
_cell_length_a 6.5177
_cell_length_b 18.0732
_cell_length_c 3.4055
_cell_angle_alpha 90.00
_cell_angle_beta 90.00
_cell_angle_gamma 90.00
_space_group_name_H-M_alt 'P n n m'
_space_group_IT_number 58
loop_
_space_group_symop_operation_xyz
'x,y,z'
'-x,-y,-z'
'-x,-y,z'
'x,y,-z'
'x+1/2,-y+1/2,-z+1/2'
'-x+1/2,y+1/2,z+1/2'
'-x+1/2,y+1/2,-z+1/2'
'x+1/2,-y+1/2,z+1/2'
loop_
_atom_site_label
_atom_site_fract_x
_atom_site_fract_y
_atom_site_fract_z
Tb1 0.0000 0.0000 0.0000
Nd1 0.0000 0.5000 0.0000
Sm1 0.2176 0.3108 0.0000
Tm1 0.2156 0.1462 0.5000
# * energy of formation: 0.270 eV per atom
# * total magnetic moment: 0.00 μB/cell

=====

No. 19
# Tb6Nd2SmTm | Alexandria | PBE-GGA | optimized geometry
data_Tb6Nd2SmTm
_cell_length_a 9.0740
_cell_length_b 15.1052
_cell_length_c 9.7282
_cell_angle_alpha 90.00
_cell_angle_beta 98.67
_cell_angle_gamma 90.00
_space_group_name_H-M_alt 'C 1 2/c 1'
_space_group_IT_number 15
loop_
_space_group_symop_operation_xyz
'x,y,z'
'-x,-y,-z'
'-x,y,-z+1/2'
'x,-y,z+1/2'
'x+1/2,y+1/2,z'
'-x+1/2,-y+1/2,-z'
'-x+1/2,y+1/2,-z+1/2'
'x+1/2,-y+1/2,z+1/2'
loop_
_atom_site_label
_atom_site_fract_x
_atom_site_fract_y
_atom_site_fract_z
Tb1 0.0661 0.1899 0.4431
Tb2 0.1002 0.3941 0.6194
Tb3 0.2042 0.2229 0.8125
Nd1 0.2471 0.0511 0.0427
Sm1 0.0000 0.0183 0.7500
Tm1 0.0000 0.4076 0.2500
# * energy of formation: 0.115 eV per atom
# * total magnetic moment: 0.00 μB/cell